(1)
Here is a relaxed structure of SrIn2N from Alexandria via LeMat-Bulk. Energies are from PBE.

Results
- total magnetization (μB per cell) = 0.00
- SG = I-42d
- formation energy from raw total energies (eV/atom) = 0.072
- DFT total energy (eV/atom) = -3.7991

Unit cell a=6.5018 b=6.5018 c=6.5018 alpha=99.60 beta=99.60 gamma=131.78
With the nearest neighbours (Å) after each atom.
Fractional positions:
Sr1 0.0000 0.0000 0.0000  2 N 2.66
Sr2 0.7500 0.2500 0.5000  2 N 2.66
In1 0.2188 0.6250 0.0938  2 N 2.56
In2 0.3750 0.4688 0.5938  2 N 2.56
In3 0.5312 0.1250 0.9062  2 N 2.56
In4 0.8750 0.7812 0.4062  2 N 2.56
N1 0.2500 0.7500 0.5000  4 In 2.56, 2 Sr 2.66
N2 0.5000 0.5000 0.0000  4 In 2.56, 2 Sr 2.66

(2)
Here is a relaxed structure of Sr2InN from Alexandria via LeMat-Bulk. Energies are from PBE.

Results
- total magnetization (μB per cell) = 0.00
- SG = P2_1/m
- formation energy from raw total energies (eV/atom) = -0.464
- DFT total energy (eV/atom) = -4.0710

Unit cell a=6.5662 b=3.8276 c=9.2939 alpha=90.00 beta=106.45 gamma=90.00
With the nearest neighbours (Å) after each atom.
Fractional positions:
Sr1 0.0163 0.2500 0.3403  3 N 2.60-2.62
Sr2 0.4745 0.2500 0.6508  3 N 2.56-2.61
Sr3 0.5255 0.7500 0.3492  3 N 2.56-2.61
Sr4 0.9837 0.7500 0.6597  3 N 2.60-2.62
In1 0.3042 0.2500 0.9999  2 In 3.20
In2 0.6958 0.7500 0.0001  2 In 3.20
N1 0.2455 0.7500 0.4933  6 Sr 2.56-2.62
N2 0.7545 0.2500 0.5067  6 Sr 2.56-2.62

(3)
Here is a relaxed structure of Sr4In2N from Alexandria via LeMat-Bulk. Energies are from PBE.

Results
- total magnetization (μB per cell) = 1.54
- relative energy among the computed polymorphs (meV/atom) = 179
- SG = I4/mmm
- formation energy from raw total energies (eV/atom) = -0.329
- DFT total energy (eV/atom) = -3.2616

Unit cell a=9.2294 b=9.2294 c=9.2294 alpha=146.57 beta=146.57 gamma=48.00
With the nearest neighbours (Å) after each atom.
Fractional positions:
Sr1 0.0000 0.5000 0.5000  2 N 2.65
Sr2 0.1567 0.1567 0.0000  1 N 2.64
Sr3 0.5000 0.0000 0.5000  2 N 2.65
Sr4 0.8433 0.8433 0.0000  1 N 2.64
In1 0.3629 0.3629 0.0000  9 Sr 3.48-3.77
In2 0.6371 0.6371 0.0000  9 Sr 3.48-3.77
N1 0.0000 0.0000 0.0000  6 Sr 2.64-2.65

(4)
Here is a relaxed structure of Sr19In8N7 from Alexandria via LeMat-Bulk. Energies are from PBE.

Results
- total magnetization (μB per cell) = 0.00
- SG = Fm-3m
- formation energy from raw total energies (eV/atom) = -0.524
- DFT total energy (eV/atom) = -3.8224

Unit cell a=11.1390 b=11.1390 c=11.1390 alpha=60.00 beta=60.00 gamma=60.00
With the nearest neighbours (Å) after each atom.
Fractional positions:
Sr1 0.0000 0.0000 0.0000  6 N 2.74
Sr2 0.0000 0.0000 0.3293  2 N 2.60
Sr3 0.0000 0.0000 0.6706  2 N 2.60
Sr4 0.0000 0.3293 0.0000  2 N 2.60
Sr5 0.0000 0.3294 0.6706  2 N 2.60
Sr6 0.0000 0.6706 0.0000  2 N 2.60
Sr7 0.0000 0.6706 0.3294  2 N 2.60
Sr8 0.3293 0.0000 0.0000  2 N 2.60
Sr9 0.3293 0.0000 0.6706  2 N 2.60
Sr10 0.3294 0.6706 0.0000  2 N 2.60
Sr11 0.3333 0.3333 0.6667  2 N 2.51-2.63
Sr12 0.3333 0.6667 0.3333  2 N 2.51-2.63
Sr13 0.3333 0.6667 0.6667  2 N 2.51-2.63
Sr14 0.6667 0.3333 0.3333  2 N 2.51-2.63
Sr15 0.6667 0.3333 0.6667  2 N 2.51-2.63
Sr16 0.6667 0.6667 0.3333  2 N 2.51-2.63
Sr17 0.6706 0.0000 0.0000  2 N 2.60
Sr18 0.6706 0.0000 0.3294  2 N 2.60
Sr19 0.6706 0.3294 0.0000  2 N 2.60
In1 0.0343 0.3219 0.3219  3 In 3.20
In2 0.3219 0.0343 0.3219  3 In 3.20
In3 0.3219 0.3219 0.0343  3 In 3.20
In4 0.3219 0.3219 0.3219  3 In 3.20
In5 0.6781 0.6781 0.6781  3 In 3.20
In6 0.6781 0.6781 0.9657  3 In 3.20
In7 0.6781 0.9657 0.6781  3 In 3.20
In8 0.9657 0.6781 0.6781  3 In 3.20
N1 0.1740 0.1740 0.8260  6 Sr 2.51-2.74
N2 0.1740 0.8260 0.1740  6 Sr 2.51-2.74
N3 0.1740 0.8260 0.8260  6 Sr 2.51-2.74
N4 0.5000 0.5000 0.5000  6 Sr 2.63
N5 0.8260 0.1740 0.1740  6 Sr 2.51-2.74
N6 0.8260 0.1740 0.8260  6 Sr 2.51-2.74
N7 0.8260 0.8260 0.1740  6 Sr 2.51-2.74

(5)
Here is a relaxed structure of Sr2InN from Alexandria via LeMat-Bulk. Energies are from PBE.

Results
- total magnetization (μB per cell) = 0.00
- SG = R-3m
- formation energy from raw total energies (eV/atom) = -0.380
- DFT total energy (eV/atom) = -3.9868

Unit cell a=9.9607 b=9.9607 c=9.9607 alpha=21.78 beta=21.78 gamma=21.78
With the nearest neighbours (Å) after each atom.
Fractional positions:
Sr1 0.1191 0.1191 0.1191  3 N 2.58
Sr2 0.8809 0.8809 0.8809  3 N 2.58
In1 0.0000 0.0000 0.0000  2 Sr 3.47, 6 In 3.76
N1 0.5000 0.5000 0.5000  6 Sr 2.58

(6)
Here is a relaxed structure of Sr12In3N5 from Alexandria via LeMat-Bulk. Energies are from PBE.

Results
- total magnetization (μB per cell) = 10.57
- SG = Ia-3d
- formation energy from raw total energies (eV/atom) = -0.345
- DFT total energy (eV/atom) = -3.8462

Unit cell a=14.9192 b=14.9192 c=14.9192 alpha=109.47 beta=109.47 gamma=109.47
With the nearest neighbours (Å) after each atom.
Fractional positions:
Sr1 0.0085 0.1932 0.1100  2 N 2.46-2.74
Sr2 0.0085 0.3153 0.8985  2 N 2.46-2.74
Sr3 0.0832 0.6932 0.6847  2 N 2.46-2.74
Sr4 0.0832 0.8900 0.3985  2 N 2.46-2.74
Sr5 0.1015 0.6100 0.4168  2 N 2.46-2.74
Sr6 0.1015 0.9915 0.6847  2 N 2.46-2.74
Sr7 0.1100 0.0085 0.1932  2 N 2.46-2.74
Sr8 0.1100 0.6015 0.9168  2 N 2.46-2.74
Sr9 0.1847 0.1932 0.5832  2 N 2.46-2.74
Sr10 0.1847 0.4915 0.6015  2 N 2.46-2.74
Sr11 0.1932 0.1100 0.0085  2 N 2.46-2.74
Sr12 0.1932 0.5832 0.1847  2 N 2.46-2.74
Sr13 0.3068 0.3153 0.9168  2 N 2.46-2.74
Sr14 0.3068 0.4915 0.3900  2 N 2.46-2.74
Sr15 0.3153 0.8985 0.0085  2 N 2.46-2.74
Sr16 0.3153 0.9168 0.3068  2 N 2.46-2.74
Sr17 0.3900 0.3068 0.4915  2 N 2.46-2.74
Sr18 0.3900 0.5832 0.8985  2 N 2.46-2.74
Sr19 0.3985 0.0832 0.8900  2 N 2.46-2.74
Sr20 0.3985 0.8153 0.5085  2 N 2.46-2.74
Sr21 0.4168 0.1015 0.6100  2 N 2.46-2.74
Sr22 0.4168 0.8153 0.8068  2 N 2.46-2.74
Sr23 0.4915 0.3900 0.3068  2 N 2.46-2.74
Sr24 0.4915 0.6015 0.1847  2 N 2.46-2.74
Sr25 0.5085 0.3985 0.8153  2 N 2.46-2.74
Sr26 0.5085 0.6100 0.6932  2 N 2.46-2.74
Sr27 0.5832 0.1847 0.1932  2 N 2.46-2.74
Sr28 0.5832 0.8985 0.3900  2 N 2.46-2.74
Sr29 0.6015 0.1847 0.4915  2 N 2.46-2.74
Sr30 0.6015 0.9168 0.1100  2 N 2.46-2.74
Sr31 0.6100 0.4168 0.1015  2 N 2.46-2.74
Sr32 0.6100 0.6932 0.5085  2 N 2.46-2.74
Sr33 0.6847 0.0832 0.6932  2 N 2.46-2.74
Sr34 0.6847 0.1015 0.9915  2 N 2.46-2.74
Sr35 0.6932 0.5085 0.6100  2 N 2.46-2.74
Sr36 0.6932 0.6847 0.0832  2 N 2.46-2.74
Sr37 0.8068 0.4168 0.8153  2 N 2.46-2.74
Sr38 0.8068 0.8900 0.9915  2 N 2.46-2.74
Sr39 0.8153 0.5085 0.3985  2 N 2.46-2.74
Sr40 0.8153 0.8068 0.4168  2 N 2.46-2.74
Sr41 0.8900 0.3985 0.0832  2 N 2.46-2.74
Sr42 0.8900 0.9915 0.8068  2 N 2.46-2.74
Sr43 0.8985 0.0085 0.3153  2 N 2.46-2.74
Sr44 0.8985 0.3900 0.5832  2 N 2.46-2.74
Sr45 0.9168 0.1100 0.6015  2 N 2.46-2.74
Sr46 0.9168 0.3068 0.3153  2 N 2.46-2.74
Sr47 0.9915 0.6847 0.1015  2 N 2.46-2.74
Sr48 0.9915 0.8068 0.8900  2 N 2.46-2.74
In1 0.1250 0.2500 0.3750  8 Sr 3.40-3.60
In2 0.1250 0.3750 0.7500  8 Sr 3.40-3.60
In3 0.2500 0.3750 0.1250  8 Sr 3.40-3.60
In4 0.2500 0.8750 0.6250  8 Sr 3.40-3.60
In5 0.3750 0.1250 0.2500  8 Sr 3.40-3.60
In6 0.3750 0.7500 0.1250  8 Sr 3.40-3.60
In7 0.6250 0.2500 0.8750  8 Sr 3.40-3.60
In8 0.6250 0.8750 0.7500  8 Sr 3.40-3.60
In9 0.7500 0.1250 0.3750  8 Sr 3.40-3.60
In10 0.7500 0.6250 0.8750  8 Sr 3.40-3.60
In11 0.8750 0.6250 0.2500  8 Sr 3.40-3.60
In12 0.8750 0.7500 0.6250  8 Sr 3.40-3.60
N1 0.0000 0.0000 0.0000  6 Sr 2.74
N2 0.0000 0.0000 0.5000  6 Sr 2.74
N3 0.0000 0.5000 0.0000  6 Sr 2.74
N4 0.0000 0.5000 0.5000  6 Sr 2.74
N5 0.1250 0.7500 0.8750  4 Sr 2.46
N6 0.1250 0.8750 0.2500  4 Sr 2.46
N7 0.2500 0.1250 0.8750  4 Sr 2.46
N8 0.2500 0.6250 0.3750  4 Sr 2.46
N9 0.3750 0.2500 0.6250  4 Sr 2.46
N10 0.3750 0.6250 0.7500  4 Sr 2.46
N11 0.5000 0.0000 0.0000  6 Sr 2.74
N12 0.5000 0.0000 0.5000  6 Sr 2.74
N13 0.5000 0.5000 0.0000  6 Sr 2.74
N14 0.5000 0.5000 0.5000  6 Sr 2.74
N15 0.6250 0.3750 0.2500  4 Sr 2.46
N16 0.6250 0.7500 0.3750  4 Sr 2.46
N17 0.7500 0.3750 0.6250  4 Sr 2.46
N18 0.7500 0.8750 0.1250  4 Sr 2.46
N19 0.8750 0.1250 0.7500  4 Sr 2.46
N20 0.8750 0.2500 0.1250  4 Sr 2.46

(7)
Here is a relaxed structure of Sr4In2N from Alexandria via LeMat-Bulk. Energies are from PBE.

Results
- total magnetization (μB per cell) = 0.06
- relative energy among the computed polymorphs (meV/atom) = 327
- SG = Cmmm
- formation energy from raw total energies (eV/atom) = -0.182
- DFT total energy (eV/atom) = -3.1145

Unit cell a=13.6721 b=13.6721 c=3.6525 alpha=90.00 beta=90.00 gamma=156.63
With the nearest neighbours (Å) after each atom.
Fractional positions:
Sr1 0.0605 0.9395 0.0000  2 N 2.44
Sr2 0.2036 0.7964 0.5000  6 In 3.44-3.85, 4 Sr 3.65-3.72
Sr3 0.7964 0.2036 0.5000  6 In 3.44-3.85, 4 Sr 3.65-3.72
Sr4 0.9395 0.0605 0.0000  2 N 2.44
In1 0.3302 0.6698 0.0000  6 Sr 3.44-3.85, 2 In 3.65
In2 0.6698 0.3302 0.0000  6 Sr 3.44-3.85, 2 In 3.65
N1 0.0000 0.0000 0.5000  4 Sr 2.44

(8)
Here is a relaxed structure of Sr3In2N from Alexandria via LeMat-Bulk. Energies are from PBE.

Results
- total magnetization (μB per cell) = 0.00
- SG = P6_3/mmc
- formation energy from raw total energies (eV/atom) = -0.413
- DFT total energy (eV/atom) = -3.5543

Unit cell a=7.8064 b=7.8064 c=7.0923 alpha=90.00 beta=90.00 gamma=120.00
With the nearest neighbours (Å) after each atom.
Fractional positions:
Sr1 0.1429 0.2858 0.2500  2 N 2.62
Sr2 0.1429 0.8571 0.2500  2 N 2.62
Sr3 0.2858 0.1429 0.7500  2 N 2.62
Sr4 0.7142 0.8571 0.2500  2 N 2.62
Sr5 0.8571 0.1429 0.7500  2 N 2.62
Sr6 0.8571 0.7142 0.7500  2 N 2.62
In1 0.3333 0.6667 0.5591  1 In 2.71
In2 0.3333 0.6667 0.9409  1 In 2.71
In3 0.6667 0.3333 0.0591  1 In 2.71
In4 0.6667 0.3333 0.4409  1 In 2.71
N1 0.0000 0.0000 0.0000  6 Sr 2.62
N2 0.0000 0.0000 0.5000  6 Sr 2.62